No. 1
GdCdPbSe3 | PBE | optimized geometry

The calculation puts the total energy at -4.19 eV per atom. Its crystal system is orthorhombic. The space group is Cmcm, No. 63. The magnetic moment comes out at 0.02 μB per cell.

a = 7.284 Å, b = 7.284 Å, c = 10.798 Å
α = 90.00°, β = 90.00°, γ = 146.03°
Fractional positions:
1 Gd 0.000 0.000 0.000
2 Gd 0.000 0.000 0.500
3 Cd 0.471 0.529 0.750
4 Cd 0.529 0.471 0.250
5 Pb 0.223 0.777 0.250
6 Pb 0.777 0.223 0.750
7 Se 0.095 0.905 0.750
8 Se 0.359 0.641 0.544
9 Se 0.359 0.641 0.956
10 Se 0.641 0.359 0.044
11 Se 0.641 0.359 0.456
12 Se 0.905 0.095 0.250

---

No. 2
GdCdPd | PBE | optimized geometry

The calculation puts the total energy at -4.28 eV per atom. The calculation puts the formation energy at -0.70 eV/atom. Its crystal system is hexagonal. The space group is P-62m, No. 189. The magnetic moment comes out at 0.01 μB per cell.

a = 7.593 Å, b = 7.593 Å, c = 3.996 Å
α = 90.00°, β = 90.00°, γ = 120.00°
Fractional positions:
1 Gd 0.000 0.593 0.000
2 Gd 0.407 0.407 0.000
3 Gd 0.593 0.000 0.000
4 Cd 0.000 0.255 0.500
5 Cd 0.255 0.000 0.500
6 Cd 0.745 0.745 0.500
7 Pd 0.000 0.000 0.000
8 Pd 0.333 0.667 0.500
9 Pd 0.667 0.333 0.500

---

No. 3
Gd4CdPd | PBE | optimized geometry

The calculation puts the total energy at -4.56 eV per atom. The calculation puts the formation energy at -0.45 eV/atom. Its crystal system is cubic. The space group is F-43m, No. 216. The magnetic moment comes out at 0.05 μB per cell.

a = 9.771 Å, b = 9.771 Å, c = 9.771 Å
α = 60.00°, β = 60.00°, γ = 60.00°
Fractional positions:
1 Gd 0.184 0.184 0.816
2 Gd 0.184 0.816 0.184
3 Gd 0.184 0.816 0.816
4 Gd 0.397 0.397 0.397
5 Gd 0.397 0.397 0.809
6 Gd 0.397 0.809 0.397
7 Gd 0.559 0.559 0.941
8 Gd 0.559 0.941 0.559
9 Gd 0.559 0.941 0.941
10 Gd 0.809 0.397 0.397
11 Gd 0.816 0.184 0.184
12 Gd 0.816 0.184 0.816
13 Gd 0.816 0.816 0.184
14 Gd 0.941 0.559 0.559
15 Gd 0.941 0.559 0.941
16 Gd 0.941 0.941 0.559
17 Cd 0.168 0.168 0.168
18 Cd 0.168 0.168 0.495
19 Cd 0.168 0.495 0.168
20 Cd 0.495 0.168 0.168
21 Pd 0.183 0.606 0.606
22 Pd 0.606 0.183 0.606
23 Pd 0.606 0.606 0.183
24 Pd 0.606 0.606 0.606

---

No. 4
GdCdPd | PBE | optimized geometry

The calculation puts the total energy at -4.17 eV per atom. The calculation puts the formation energy at -0.59 eV/atom. Its crystal system is hexagonal. The space group is P6_3mc, No. 186. The magnetic moment comes out at 0.01 μB per cell.

a = 4.741 Å, b = 4.741 Å, c = 6.859 Å
α = 90.00°, β = 90.00°, γ = 120.00°
Fractional positions:
1 Gd 0.000 0.000 0.000
2 Gd 0.000 0.000 0.500
3 Cd 0.333 0.667 0.244
4 Cd 0.667 0.333 0.744
5 Pd 0.333 0.667 0.763
6 Pd 0.667 0.333 0.263

---

No. 5
GdCdPd | PBE | optimized geometry

The calculation puts the total energy at -3.88 eV per atom. The calculation puts the formation energy at -0.31 eV/atom. Its crystal system is hexagonal. The space group is P-62m, No. 189. The magnetic moment comes out at 0.02 μB per cell.

a = 8.118 Å, b = 8.118 Å, c = 3.386 Å
α = 90.00°, β = 90.00°, γ = 120.00°
Fractional positions:
1 Gd 0.000 0.294 0.000
2 Gd 0.294 0.000 0.000
3 Gd 0.706 0.706 0.000
4 Cd 0.000 0.000 0.500
5 Cd 0.333 0.667 0.000
6 Cd 0.667 0.333 0.000
7 Pd 0.000 0.629 0.500
8 Pd 0.371 0.371 0.500
9 Pd 0.629 0.000 0.500

---

No. 6
Gd3Cd3Pd2Pt | PBE | optimized geometry

The calculation puts the total energy at -4.41 eV per atom. The calculation puts the formation energy at -0.74 eV/atom. Its crystal system is hexagonal. The space group is P-62m, No. 189. The magnetic moment comes out at 0.01 μB per cell.

a = 7.611 Å, b = 7.611 Å, c = 3.990 Å
α = 90.00°, β = 90.00°, γ = 120.00°
Fractional positions:
1 Gd 0.000 0.601 0.000
2 Gd 0.399 0.399 0.000
3 Gd 0.601 0.000 0.000
4 Cd 0.000 0.259 0.500
5 Cd 0.259 0.000 0.500
6 Cd 0.741 0.741 0.500
7 Pd 0.333 0.667 0.500
8 Pd 0.667 0.333 0.500
9 Pt 0.000 0.000 0.000

---

No. 7
PrGdCd2 | PBE | optimized geometry

The calculation puts the total energy at -3.13 eV per atom. The calculation puts the formation energy at -0.33 eV/atom. Its crystal system is cubic. The space group is Fm-3m, No. 225. The magnetic moment comes out at 0.79 μB per cell.

a = 5.398 Å, b = 5.398 Å, c = 5.398 Å
α = 60.00°, β = 60.00°, γ = 60.00°
Fractional positions:
1 Pr 0.000 0.000 0.000
2 Gd 0.500 0.500 0.500
3 Cd 0.250 0.250 0.250
4 Cd 0.750 0.750 0.750

---

No. 8
PrGd2Tl2Cd4 | PBE | optimized geometry

The calculation puts the total energy at -2.85 eV per atom. Its crystal system is orthorhombic. The space group is Amm2, No. 38. The magnetic moment comes out at 0.01 μB per cell.

a = 4.635 Å, b = 7.677 Å, c = 7.677 Å
α = 120.64°, β = 90.00°, γ = 90.00°
Fractional positions:
1 Pr 0.000 0.000 0.000
2 Gd 0.000 0.422 0.846
3 Gd 0.000 0.846 0.422
4 Tl 0.500 0.092 0.753
5 Tl 0.500 0.753 0.092
6 Cd 0.000 0.431 0.431
7 Cd 0.500 0.186 0.424
8 Cd 0.500 0.424 0.186
9 Cd 0.500 0.664 0.664